SrCuOsO5, relaxed, DFT GGA-PBE; calculated total energy = -6.666 eV/atom; volume = 13.4 Å³/atom; raw formation energy = -1.44 eV per atom; space-group type = C2/c, No. 15
1.0
3.3209 -4.7232 0.0000
3.3209 4.7232 0.0000
-2.7020 0.0000 6.8540
Sr Cu Os O
2 2 2 10
Direct
0.1651 0.8349 0.7500
0.8349 0.1651 0.2500
0.1872 0.8128 0.2500
0.8128 0.1872 0.7500
0.5000 0.5000 0.0000
0.5000 0.5000 0.5000
0.1499 0.2604 0.9283
0.2181 0.5935 0.4081
0.2604 0.1499 0.4283
0.4065 0.7819 0.0919
0.4379 0.5621 0.7500
0.5621 0.4379 0.2500
0.5935 0.2181 0.9081
0.7396 0.8501 0.5717
0.7819 0.4065 0.5919
0.8501 0.7396 0.0717